# NaSrCu, relaxed, DFT PBE-GGA
data_NaSrCu
_cell_length_a 4.344
_cell_length_b 20.118
_cell_length_c 4.337
_cell_angle_alpha 90.00
_cell_angle_beta 90.00
_cell_angle_gamma 90.00
_space_group_name_H-M_alt 'C m c m'
_space_group_IT_number 63
_space_group_name_Hall '-C 2c 2'
loop_
_atom_site_label
_atom_site_type_symbol
_atom_site_fract_x
_atom_site_fract_y
_atom_site_fract_z
Na1 Na 0.000 0.204 0.250
Sr1 Sr 0.000 0.416 0.250
Cu1 Cu 0.000 0.031 0.250
# D(E_F): 6.8 states/eV per cell
# electronic total energy: -2.4133 eV per atom
# E_form: -0.0477 eV per atom
# total magnetization: 0.000 μB/atom
# ρ: 3.052 Mg/m³
# excess energy over the best structure of this formula in the dataset: 0 meV per atom

***

# NaSrCu4, relaxed, DFT PBE-GGA
data_NaSrCu4
_cell_length_a 7.541
_cell_length_b 7.541
_cell_length_c 7.541
_cell_angle_alpha 90.00
_cell_angle_beta 90.00
_cell_angle_gamma 90.00
_space_group_name_H-M_alt 'F -4 3 m'
_space_group_IT_number 216
_space_group_name_Hall 'F -4 2 3'
loop_
_atom_site_label
_atom_site_type_symbol
_atom_site_fract_x
_atom_site_fract_y
_atom_site_fract_z
Na1 Na 0.000 0.000 0.000
Sr1 Sr 0.250 0.250 0.750
Cu1 Cu 0.126 0.126 0.374
# D(E_F): 23.4 states/eV per cell
# electronic total energy: -3.1674 eV per atom
# E_form: 0.0635 eV per atom
# total magnetization: 0.000 μB/atom
# ρ: 5.649 Mg/m³

***

# Na2Sr6Cu, relaxed, DFT PBE-GGA
data_Na2Sr6Cu
_cell_length_a 10.940
_cell_length_b 11.778
_cell_length_c 12.362
_cell_angle_alpha 90.00
_cell_angle_beta 90.00
_cell_angle_gamma 90.00
_space_group_name_H-M_alt 'I m m m'
_space_group_IT_number 71
_space_group_name_Hall '-I 2 2'
loop_
_atom_site_label
_atom_site_type_symbol
_atom_site_fract_x
_atom_site_fract_y
_atom_site_fract_z
Na1 Na 0.000 0.134 0.000
Na2 Na 0.138 0.500 0.500
Sr1 Sr 0.000 0.329 0.227
Sr2 Sr 0.173 0.000 0.239
Sr3 Sr 0.209 0.187 0.500
Cu1 Cu 0.000 0.000 0.500
Cu2 Cu 0.000 0.500 0.000
# D(E_F): 27.7 states/eV per cell
# electronic total energy: -1.7785 eV per atom
# E_form: 0.0910 eV per atom
# total magnetization: 0.000 μB/atom
# ρ: 2.649 Mg/m³

***

What did the second record say?
# NaSrCu4, relaxed, DFT PBE-GGA
data_NaSrCu4
_cell_length_a 7.541
_cell_length_b 7.541
_cell_length_c 7.541
_cell_angle_alpha 90.00
_cell_angle_beta 90.00
_cell_angle_gamma 90.00
_space_group_name_H-M_alt 'F -4 3 m'
_space_group_IT_number 216
_space_group_name_Hall 'F -4 2 3'
loop_
_atom_site_label
_atom_site_type_symbol
_atom_site_fract_x
_atom_site_fract_y
_atom_site_fract_z
Na1 Na 0.000 0.000 0.000
Sr1 Sr 0.250 0.250 0.750
Cu1 Cu 0.126 0.126 0.374
# D(E_F): 23.4 states/eV per cell
# electronic total energy: -3.1674 eV per atom
# E_form: 0.0635 eV per atom
# total magnetization: 0.000 μB/atom
# ρ: 5.649 Mg/m³